TaCo2Pt: relaxed, PBE.

The energy of formation is -0.4343 eV per atom. As for the energy above the most stable polymorph in this dataset: 0.000 eV per atom. The calculation puts the calculated volume at 13.379 A^3/atom. The magnetization comes out at 0.81 Bohr magnetons per cell.

The space group is P4/mmm (No. 123) and the conventional cell measures 3.836, 3.836 and 3.637 Å, with angles of 90.00, 90.00 and 90.00 degrees. The inequivalent atoms are Ta at (0.000, 0.000, 0.000), Co at (0.000, 0.500, 0.500) and Pt at (0.500, 0.500, 0.000).

---

TaCo2Pt2: relaxed, PBE.

The energy of formation is -0.1607 eV per atom. The calculation puts the calculated volume at 14.311 A^3/atom. The magnetization comes out at 3.51 Bohr magnetons per cell.

The space group is P4/mbm (No. 127) and the conventional cell measures 6.380, 6.380 and 3.516 Å, with angles of 90.00, 90.00 and 90.00 degrees. The inequivalent atoms are Ta at (0.000, 0.000, 0.000), Co at (0.130, 0.370, 0.000) and Pt at (0.164, 0.664, 0.500).

---

TaCo2Pt: relaxed, PBE.

The energy of formation is -0.1854 eV per atom. As for the energy above the most stable polymorph in this dataset: 0.249 eV per atom. The calculation puts the calculated volume at 13.807 A^3/atom. The magnetization comes out at 4.80 Bohr magnetons per cell.

The space group is Cm (No. 8) and the conventional cell measures 8.899, 2.802 and 4.530 Å, with angles of 90.00, 102.03 and 90.00 degrees. The inequivalent atoms are Ta at (0.000, 0.000, 0.000), Co at (0.254, 0.500, 0.256), Co at (0.490, 0.000, 0.471) and Pt at (0.241, 0.000, 0.728).

---

Ta4CoPt: relaxed, PBE.

The energy of formation is 0.3960 eV per atom. As for the energy above the most stable polymorph in this dataset: 0.735 eV per atom. The calculation puts the calculated volume at 17.634 A^3/atom. The magnetization comes out at 4.13 Bohr magnetons per cell.

The space group is F-43m (No. 216) and the conventional cell measures 7.508, 7.508 and 7.508 Å, with angles of 90.00, 90.00 and 90.00 degrees. The inequivalent atoms are Ta at (0.124, 0.124, 0.376), Co at (0.250, 0.250, 0.750) and Pt at (0.000, 0.000, 0.000).

---

TaCoTc2Pt: relaxed, PBE.

The energy of formation is 0.9959 eV per atom. The calculation puts the calculated volume at 16.961 A^3/atom. The magnetization comes out at 0.00 Bohr magnetons per cell.

The space group is P4/mmm (No. 123) and the conventional cell measures 4.306, 4.306 and 4.575 Å, with angles of 90.00, 90.00 and 90.00 degrees. The inequivalent atoms are Ta at (0.000, 0.000, 0.000), Co at (0.500, 0.500, 0.500), Tc at (0.000, 0.500, 0.500) and Pt at (0.500, 0.500, 0.000).

---

TaVCoPt: relaxed, PBE.

The energy of formation is -0.3856 eV per atom. The calculation puts the calculated volume at 14.197 A^3/atom. The magnetization comes out at 0.00 Bohr magnetons per cell.

The space group is Pmmm (No. 47) and the conventional cell measures 3.732, 3.883 and 3.919 Å, with angles of 90.00, 90.00 and 90.00 degrees. The inequivalent atoms are Ta at (0.000, 0.000, 0.000), V at (0.500, 0.000, 0.500), Co at (0.500, 0.500, 0.000) and Pt at (0.000, 0.500, 0.500).

---

TaCo2PtW: relaxed, PBE.

The energy of formation is 1.5366 eV per atom. The calculation puts the calculated volume at 18.513 A^3/atom. The magnetization comes out at 0.00 Bohr magnetons per cell.

The space group is P4/mmm (No. 123) and the conventional cell measures 4.360, 4.360 and 4.869 Å, with angles of 90.00, 90.00 and 90.00 degrees. The inequivalent atoms are Ta at (0.000, 0.000, 0.000), Co at (0.000, 0.500, 0.500), Pt at (0.500, 0.500, 0.000) and W at (0.000, 0.000, 0.500).

---

TaZnCoPt: relaxed, PBE.

The energy of formation is -0.3381 eV per atom. The calculation puts the calculated volume at 14.716 A^3/atom. The magnetization comes out at 6.71 Bohr magnetons per cell.

The space group is F-43m (No. 216) and the conventional cell measures 6.175, 6.175 and 6.175 Å, with angles of 90.00, 90.00 and 90.00 degrees. The inequivalent atoms are Ta at (0.000, 0.000, 0.000), Zn at (0.000, 0.000, 0.500), Co at (0.250, 0.250, 0.250) and Pt at (0.250, 0.250, 0.750).

---

Tb12Co6Pt: relaxed, PBE.

The energy of formation is -0.2690 eV per atom. The calculation puts the calculated volume at 23.082 A^3/atom. The magnetization comes out at 0.00 Bohr magnetons per cell.

The space group is Im-3 (No. 204) and the conventional cell measures 9.572, 9.572 and 9.572 Å, with angles of 90.00, 90.00 and 90.00 degrees. The inequivalent atoms are Tb at (0.000, 0.193, 0.299), Co at (0.000, 0.385, 0.500) and Pt at (0.000, 0.000, 0.000).

---

Tb4Co3Pt: relaxed, PBE.

The energy of formation is -0.4357 eV per atom. The calculation puts the calculated volume at 20.910 A^3/atom. The magnetization comes out at 1.02 Bohr magnetons per cell.

The space group is Pmm2 (No. 25) and the conventional cell measures 3.969, 3.987 and 10.571 Å, with angles of 90.00, 90.00 and 90.00 degrees. The inequivalent atoms are Tb at (0.000, 0.000, 0.000), Tb at (0.000, 0.500, 0.488), Tb at (0.500, 0.000, 0.706), Tb at (0.500, 0.500, 0.207), Co at (0.000, 0.000, 0.297), Co at (0.500, 0.000, 0.405), Co at (0.500, 0.500, 0.934) and Pt at (0.000, 0.500, 0.776).

---

Tb4CoPt: relaxed, PBE.

The energy of formation is -0.4779 eV per atom. As for the energy above the most stable polymorph in this dataset: 0.027 eV per atom. The calculation puts the calculated volume at 26.367 A^3/atom. The magnetization comes out at 0.00 Bohr magnetons per cell.

The space group is P2_1/c (No. 14) and the conventional cell measures 6.836, 6.815 and 6.802 Å, with angles of 90.00, 93.23 and 90.00 degrees. The inequivalent atoms are Tb at (0.166, 0.173, 0.190), Tb at (0.318, 0.665, 0.150), Co at (0.000, 0.000, 0.500) and Pt at (0.500, 0.000, 0.000).

---

Tb6Co2Pt: relaxed, PBE.

The energy of formation is -0.3135 eV per atom. As for the energy above the most stable polymorph in this dataset: 0.086 eV per atom. The calculation puts the calculated volume at 25.829 A^3/atom. The magnetization comes out at 0.00 Bohr magnetons per cell.

The space group is P2_1/c (No. 14) and the conventional cell measures 6.541, 7.055 and 11.710 Å, with angles of 90.00, 120.63 and 90.00 degrees. The inequivalent atoms are Tb at (0.081, 0.182, 0.425), Tb at (0.225, 0.669, 0.413), Tb at (0.417, 0.064, 0.244), Co at (0.186, 0.111, 0.731) and Pt at (0.500, 0.000, 0.500).

---

Q: Which value of calculated volume does entry 9 give?
A: 23.082 A^3/atom

---

Q: The lowest calculated volume belongs to which entry?
A: number 1

---

Q: What is the energy of formation in the sixth record?
A: -0.3856 eV per atom

---

Q: Which of these has the highest calculated volume?
A: Tb4CoPt